[1]
The following is a PBE calculation of a geometry-optimized KPtI structure, from the Alexandria database.

Results
ΔE to the lowest computed polymorph = 0.345 eV/atom
Density of states at the Fermi level = 0.6 states/eV/f.u.
Raw formation energy = -212 meV/atom

a = 11.4153 Å, b = 7.9362 Å, c = 4.0660 Å
α = 90.00°, β = 90.00°, γ = 90.00°
Element x y z (fractional)
I 0.0000 0.0000 0.0000
I 0.0000 0.5000 0.0000
I 0.5000 0.0000 0.5000
I 0.5000 0.5000 0.5000
Pt 0.4672 0.2500 0.0002
Pt 0.5328 0.7500 0.9998
Pt 0.0328 0.7500 0.5002
Pt 0.9672 0.2500 0.4998
K 0.2606 0.7500 0.0012
K 0.7606 0.7500 0.4988
K 0.7394 0.2500 0.9988
K 0.2394 0.2500 0.5012

=====

[2]
The following is a PBE calculation of a geometry-optimized K4PtI8 structure, from the Alexandria database.

Results
Density of states at the Fermi level = 20.5 states/eV/f.u.
Raw formation energy = -826 meV/atom

a = 9.7798 Å, b = 9.1981 Å, c = 9.1981 Å
α = 73.58°, β = 57.88°, γ = 57.88°
Each line ends with the local moment (μB).
Element x y z (fractional)
I 0.5000 0.7499 0.2501  0.20
I 0.7608 0.2392 0.2392  0.06
I 0.7501 0.7499 0.7499  0.20
I 0.5000 0.2501 0.7499  0.20
I 0.0000 0.2392 0.7608  0.06
I 0.0000 0.7608 0.2392  0.06
I 0.2392 0.7608 0.7608  0.06
I 0.2499 0.2501 0.2501  0.20
K 0.0000 0.5000 0.0000  0.00
K 0.5000 0.5000 0.0000  0.00
K 0.5000 0.0000 0.5000  0.00
K 0.0000 0.0000 0.5000  0.00
Pt 0.0000 0.0000 0.0000  0.08

=====

[3]
The following is a PBE calculation of a geometry-optimized KPtI structure, from the Alexandria database.

Results
ΔE to the lowest computed polymorph = 0.004 eV/atom
Density of states at the Fermi level = 0.0 states/eV/f.u.
Raw formation energy = -553 meV/atom

a = 3.9643 Å, b = 6.6691 Å, c = 8.1062 Å
α = 80.73°, β = 80.78°, γ = 73.06°
Element x y z (fractional)
Pt 0.7423 0.5806 0.9026
Pt 0.2577 0.4194 0.0974
K 0.5206 0.7998 0.2436
K 0.4794 0.2002 0.7564
I 0.7753 0.2464 0.3024
I 0.2247 0.7536 0.6976

=====

[4]
The following is a PBE calculation of a geometry-optimized KPtI structure, from the Alexandria database.

Results
ΔE to the lowest computed polymorph = 0.222 eV/atom
Density of states at the Fermi level = 0.0 states/eV/f.u.
Raw formation energy = -335 meV/atom

a = 10.0289 Å, b = 4.8371 Å, c = 9.3806 Å
α = 90.00°, β = 90.00°, γ = 90.00°
Element x y z (fractional)
Pt 0.5592 0.7500 0.7197
Pt 0.0592 0.7500 0.7803
Pt 0.9408 0.2500 0.2197
Pt 0.4408 0.2500 0.2803
K 0.7133 0.2500 0.4736
K 0.7867 0.7500 0.9736
K 0.2867 0.7500 0.5264
K 0.2133 0.2500 0.0264
I 0.9766 0.7500 0.2952
I 0.4766 0.7500 0.2048
I 0.5234 0.2500 0.7952
I 0.0234 0.2500 0.7048

=====

[5]
The following is a PBE calculation of a geometry-optimized K2PtI6 structure, from the Alexandria database.

Results
Raw formation energy = -743 meV/atom

a = 7.6835 Å, b = 7.6835 Å, c = 12.0971 Å
α = 90.00°, β = 90.00°, γ = 90.00°
Element x y z (fractional)
I 0.5000 0.5000 0.7240
I 0.7027 0.1925 0.0000
I 0.2973 0.8075 0.0000
I 0.1925 0.2973 0.0000
I 0.6925 0.2027 0.5000
I 0.8075 0.7027 0.0000
I 0.0000 0.0000 0.2240
I 0.5000 0.5000 0.2760
I 0.2027 0.3075 0.5000
I 0.7973 0.6925 0.5000
I 0.0000 0.0000 0.7760
I 0.3075 0.7973 0.5000
K 0.5000 0.0000 0.7500
K 0.0000 0.5000 0.7500
K 0.0000 0.5000 0.2500
K 0.5000 0.0000 0.2500
Pt 0.0000 0.0000 0.0000
Pt 0.5000 0.5000 0.5000

=====

[6]
The following is a PBE calculation of a geometry-optimized KPtI4 structure, from the Alexandria database.

Results
ΔE to the lowest computed polymorph = 0.028 eV/atom
Density of states at the Fermi level = 2.6 states/eV/f.u.
Raw formation energy = -486 meV/atom

a = 4.2915 Å, b = 7.3172 Å, c = 8.8006 Å
α = 65.25°, β = 90.00°, γ = 90.00°
Element x y z (fractional)
I 0.0000 0.2544 0.8291
I 0.0000 0.7456 0.1709
I 0.5000 0.7301 0.5395
I 0.5000 0.2699 0.4605
Pt 0.0000 0.5000 0.5000
K 0.5000 0.5000 0.0000

=====

[7]
The following is a PBE calculation of a geometry-optimized KPtI structure, from the Alexandria database.

Results
ΔE to the lowest computed polymorph = 0.440 eV/atom
Density of states at the Fermi level = 1.3 states/eV/f.u.
Raw formation energy = -118 meV/atom

a = 5.9291 Å, b = 5.9291 Å, c = 10.0883 Å
α = 90.00°, β = 90.00°, γ = 120.00°
Element x y z (fractional)
K 0.6667 0.3333 0.7500
K 0.3333 0.6667 0.2500
Pt 0.0000 0.0000 0.5000
Pt 0.0000 0.0000 0.0000
I 0.0000 0.0000 0.7500
I 0.0000 0.0000 0.2500

=====

[8]
The following is a PBE calculation of a geometry-optimized KPtI structure, from the Alexandria database.

Results
ΔE to the lowest computed polymorph = 0.030 eV/atom
Density of states at the Fermi level = 0.0 states/eV/f.u.
Raw formation energy = -527 meV/atom

a = 12.2931 Å, b = 5.3754 Å, c = 5.3754 Å
α = 134.76°, β = 122.50°, γ = 57.50°
Element x y z (fractional)
K 0.1688 0.6373 0.3627
K 0.5872 0.9368 0.0632
I 0.9194 0.5556 0.4444
I 0.3726 0.7902 0.2098
Pt 0.8564 0.9385 0.0615
Pt 0.8625 0.2651 0.7349

=====

| no. | total magnetization (μB per formula unit) |
| --- | --- |
| 1 | 0.00 |
| 2 | 1.67 |
| 3 | 0.00 |
| 4 | 0.00 |
| 5 | 0.00 |
| 6 | 0.00 |
| 7 | 0.00 |
| 8 | 0.00 |